# 1
A plane-wave DFT calculation with PBEsol was carried out for an optimized crystal structure of ZrBe3.

Values from the calculation:
**Excess energy over the best structure of this formula in the dataset**: 0.036 eV per atom
**Raw total energy**: -5.40 eV per atom
**ΔE_f**: -0.13 eV per atom

abc: 5.5097 5.5097 3.6170
angles: 90.00 90.00 120.00
Space group P6_3/mmc (No. 194)
One atom of each set of equivalent atoms:
Zr 0.3333 0.6667 0.2500
Be 0.1331 0.2663 0.7500

=====

# 2
A plane-wave DFT calculation with PBEsol was carried out for an optimized crystal structure of NaInBr2.

Values from the calculation:
**Excess energy over the best structure of this formula in the dataset**: 0.132 eV per atom
**Raw total energy**: -2.84 eV per atom

abc: 4.8257 4.8257 25.9824
angles: 90.00 90.00 120.00
Space group R-3m (No. 166, hexagonal axes)
One atom of each set of equivalent atoms:
Na 0.0000 0.0000 0.0000
In 0.0000 0.0000 0.5000
Br 0.0000 0.0000 0.1012

=====

# 3
A plane-wave DFT calculation with PBEsol was carried out for an optimized crystal structure of CaMgFe2.

Values from the calculation:
**Raw total energy**: -5.03 eV per atom
**ΔE_f**: 0.41 eV per atom

abc: 10.4951 3.0458 4.8798
angles: 90.00 112.93 90.00
Space group Cm (No. 8)
One atom of each set of equivalent atoms:
Ca 0.0000 0.0000 0.0000
Mg 0.2043 0.0000 0.6732
Fe 0.2764 0.5000 0.2535
Fe 0.4460 0.0000 0.4564

=====

# 4
A plane-wave DFT calculation with PBEsol was carried out for an optimized crystal structure of SrPH.

Values from the calculation:
**Raw total energy**: -4.40 eV per atom

abc: 4.5889 4.5889 9.8065
angles: 90.00 90.00 120.00
Space group R3m (No. 160, hexagonal axes)
One atom of each set of equivalent atoms:
Sr 0.0000 0.0000 0.0000
P 0.0000 0.0000 0.5012
H 0.0000 0.0000 0.6502

=====

# 5
A plane-wave DFT calculation with PBEsol was carried out for an optimized crystal structure of VRe2O9.

Values from the calculation:
**Raw total energy**: -8.63 eV per atom

abc: 5.6788 14.6282 8.8812
angles: 90.00 90.00 90.00
Space group Cmc2_1 (No. 36)
One atom of each set of equivalent atoms:
V 0.0000 0.1172 0.0000
Re 0.0000 0.2299 0.5921
Re 0.0000 0.4774 0.9074
O 0.0000 0.0638 0.1545
O 0.0000 0.1341 0.4805
O 0.0000 0.1954 0.7798
O 0.0000 0.3997 0.7606
O 0.0000 0.4191 0.0755
O 0.2413 0.2093 0.0469
O 0.2466 0.0477 0.8965

=====

# 6
A plane-wave DFT calculation with PBEsol was carried out for an optimized crystal structure of CsRbNbAs2.

Values from the calculation:
**Raw total energy**: -4.51 eV per atom
**ΔE_f**: 0.09 eV per atom

abc: 5.0984 5.0984 5.8632
angles: 90.00 90.00 90.00
Space group P4/mmm (No. 123)
One atom of each set of equivalent atoms:
Cs 0.0000 0.0000 0.0000
Rb 0.5000 0.5000 0.0000
Nb 0.0000 0.0000 0.5000
As 0.0000 0.5000 0.5000

=====

# 7
A plane-wave DFT calculation with PBEsol was carried out for an optimized crystal structure of NbNiAs.

Values from the calculation:
**Raw total energy**: -7.96 eV per atom
**ΔE_f**: -0.60 eV per atom

abc: 6.2629 3.7035 7.2193
angles: 90.00 90.00 90.00
Space group Pnma (No. 62)
One atom of each set of equivalent atoms:
Nb 0.0171 0.2500 0.1663
Ni 0.1603 0.2500 0.5733
As 0.2120 0.7500 0.3818

=====

# 8
A plane-wave DFT calculation with PBEsol was carried out for an optimized crystal structure of CoTeAs2.

Values from the calculation:
**Raw total energy**: -5.33 eV per atom

abc: 3.3622 3.3622 22.7993
angles: 90.00 90.00 120.00
Space group R-3m (No. 166, hexagonal axes)
One atom of each set of equivalent atoms:
Co 0.0000 0.0000 0.0000
Te 0.0000 0.0000 0.5000
As 0.0000 0.0000 0.2763

=====

Look up the raw total energy of the eighth one.
-5.33 eV per atom